No. 1
## Pm2P4IrPt3 (PBE-GGA)

Data for an optimized crystal structure of Pm2P4IrPt3.

The total moment comes out at 0.00 μB per cell. The formation energy is -947 meV per atom. As for the total energy: -6.759 eV/atom.

The space group is P-4m2 (No. 115) and the conventional cell measures 4.274, 4.274 and 9.569 Å, with angles of 90.00, 90.00 and 90.00 degrees. The asymmetric unit holds Pm at (0.000, 0.500, 0.246), P at (0.000, 0.000, 0.000), P at (0.000, 0.500, 0.631), P at (0.500, 0.500, 0.000), Ir at (0.000, 0.000, 0.500), Pt at (0.000, 0.500, 0.881) and Pt at (0.500, 0.500, 0.500).

No. 2
## Pm2P3Ir4Rh (PBE-GGA)

Data for an optimized crystal structure of Pm2P3Ir4Rh.

The total moment comes out at 0.00 μB per cell. The formation energy is -815 meV per atom. As for the total energy: -7.668 eV/atom.

The space group is P-4m2 (No. 115) and the conventional cell measures 4.134, 4.134 and 10.025 Å, with angles of 90.00, 90.00 and 90.00 degrees. The asymmetric unit holds Pm at (0.000, 0.500, 0.249), P at (0.000, 0.500, 0.864), P at (0.500, 0.500, 0.500), Ir at (0.000, 0.000, 0.000), Ir at (0.000, 0.500, 0.636), Ir at (0.500, 0.500, 0.000) and Rh at (0.000, 0.000, 0.500).

No. 3
## Pm2P3IrRh4 (PBE-GGA)

Data for an optimized crystal structure of Pm2P3IrRh4.

The total moment comes out at 0.00 μB per cell. The formation energy is -864 meV per atom. As for the total energy: -7.264 eV/atom.

The space group is P-4m2 (No. 115) and the conventional cell measures 4.118, 4.118 and 10.059 Å, with angles of 90.00, 90.00 and 90.00 degrees. The asymmetric unit holds Pm at (0.000, 0.500, 0.247), P at (0.000, 0.000, 0.000), P at (0.000, 0.500, 0.630), Ir at (0.500, 0.500, 0.000), Rh at (0.000, 0.000, 0.500), Rh at (0.000, 0.500, 0.856) and Rh at (0.500, 0.500, 0.500).

No. 4
## Pm2P4Ir3Ru (PBE-GGA)

Data for an optimized crystal structure of Pm2P4Ir3Ru.

The total moment comes out at 0.00 μB per cell. The formation energy is -1028 meV per atom. As for the total energy: -7.728 eV/atom.

The space group is P-4m2 (No. 115) and the conventional cell measures 4.189, 4.189 and 9.490 Å, with angles of 90.00, 90.00 and 90.00 degrees. The asymmetric unit holds Pm at (0.000, 0.500, 0.240), P at (0.000, 0.000, 0.000), P at (0.000, 0.500, 0.633), P at (0.500, 0.500, 0.000), Ir at (0.000, 0.500, 0.886), Ir at (0.500, 0.500, 0.500) and Ru at (0.000, 0.000, 0.500).

No. 5
## Pm2P3Ir4Ru (PBE-GGA)

Data for an optimized crystal structure of Pm2P3Ir4Ru.

The total moment comes out at 0.00 μB per cell. The formation energy is -784 meV per atom. As for the total energy: -7.829 eV/atom.

The space group is P-4m2 (No. 115) and the conventional cell measures 4.122, 4.122 and 10.068 Å, with angles of 90.00, 90.00 and 90.00 degrees. The asymmetric unit holds Pm at (0.000, 0.500, 0.246), P at (0.000, 0.500, 0.864), P at (0.500, 0.500, 0.500), Ir at (0.000, 0.000, 0.000), Ir at (0.000, 0.500, 0.634), Ir at (0.500, 0.500, 0.000) and Ru at (0.000, 0.000, 0.500).

No. 6
## PmScP2Ir5 (PBE-GGA)

Data for an optimized crystal structure of PmScP2Ir5.

The total moment comes out at 0.00 μB per cell. The formation energy is -612 meV per atom. As for the total energy: -7.969 eV/atom.

The space group is P4/mmm (No. 123) and the conventional cell measures 4.040, 4.040 and 10.543 Å, with angles of 90.00, 90.00 and 90.00 degrees. The asymmetric unit holds Pm at (0.000, 0.000, 0.000), Sc at (0.000, 0.000, 0.500), P at (0.500, 0.500, 0.217), Ir at (0.000, 0.500, 0.317) and Ir at (0.500, 0.500, 0.000).

No. 7
## Pm6PIr2Se3 (PBE-GGA)

Data for an optimized crystal structure of Pm6PIr2Se3.

The total moment comes out at 0.00 μB per cell. For the uncorrected formation energy, the calculation gives -1.394 eV/atom. As for the total energy: -6.568 eV/atom.

The space group is C2/m (No. 12) and the conventional cell measures 18.517, 4.130 and 8.562 Å, with angles of 90.00, 105.82 and 90.00 degrees. The asymmetric unit holds Pm at (0.009, 0.000, 0.243), Pm at (0.164, 0.500, 0.105), Pm at (0.171, 0.500, 0.574), P at (0.000, 0.500, 0.000), Ir at (0.168, 0.000, 0.338), Se at (0.000, 0.500, 0.500) and Se at (0.162, 0.000, 0.840).

No. 8
## Pm8P3IrSe4 (PBE-GGA)

Data for an optimized crystal structure of Pm8P3IrSe4.

The total moment comes out at 0.00 μB per cell. For the uncorrected formation energy, the calculation gives -1.623 eV/atom. As for the total energy: -6.437 eV/atom.

The space group is R-3m (No. 166, hexagonal axes) and the conventional cell measures 8.3220, 8.3220 and 20.7076 Å, with angles of 90.00, 90.00 and 120.00 degrees. The asymmetric unit holds Pm at (0.0000, 0.0000, 0.2438), Pm at (0.0028, 0.5014, 0.2434), P at (0.0000, 0.5000, 0.5000), Ir at (0.0000, 0.0000, 0.5000), Se at (0.0000, 0.0000, 0.0000) and Se at (0.0000, 0.5000, 0.0000).

No. 9
## Pm2SiPIr6 (PBE-GGA)

Data for an optimized crystal structure of Pm2SiPIr6.

The total moment comes out at 0.00 μB per cell. For the uncorrected formation energy, the calculation gives -0.558 eV/atom. As for the total energy: -7.908 eV/atom.

The space group is Pmmn (No. 59, origin choice 2) and the conventional cell measures 5.458, 8.645 and 7.895 Å, with angles of 90.00, 90.00 and 90.00 degrees. The asymmetric unit holds Pm at (0.250, 0.018, 0.215), Si at (0.250, 0.750, 0.762), P at (0.250, 0.250, 0.747), Ir at (0.005, 0.750, 0.495), Ir at (0.009, 0.750, 0.020) and Ir at (0.250, 0.501, 0.603).

No. 10
## Pm2TcP4Ir3 (PBE-GGA)

Data for an optimized crystal structure of Pm2TcP4Ir3.

The total moment comes out at 0.00 μB per cell. The formation energy is -1015 meV per atom. As for the total energy: -7.824 eV/atom.

The space group is P-4m2 (No. 115) and the conventional cell measures 4.219, 4.219 and 9.426 Å, with angles of 90.00, 90.00 and 90.00 degrees. The asymmetric unit holds Pm at (0.000, 0.500, 0.237), Tc at (0.000, 0.000, 0.500), P at (0.000, 0.000, 0.000), P at (0.000, 0.500, 0.628), P at (0.500, 0.500, 0.000), Ir at (0.000, 0.500, 0.886) and Ir at (0.500, 0.500, 0.500).